Entry 1:
Density functional theory data (PBE-GGA) for a relaxed Tb3NdEr crystal.

Total energy   -43.546 eV per cell
Space group   P2_1/m
Energy relative to the elements   0.290 eV per atom
Volume   35.24 Å³ per atom

Structure (POSCAR):
```
Tb3NdEr
1.0
3.612 0.000 0.000
0.000 11.593 0.000
-1.737 0.000 8.414
Tb Nd Er
6 2 2
direct
0.162 0.001 0.312 Tb
0.162 0.499 0.312 Tb
0.335 0.250 0.633 Tb
0.665 0.750 0.367 Tb
0.838 0.501 0.688 Tb
0.838 0.999 0.688 Tb
0.055 0.250 0.981 Nd
0.945 0.750 0.019 Nd
0.318 0.750 0.684 Er
0.682 0.250 0.316 Er
```

=====

Entry 2:
Density functional theory data (PBE-GGA) for a relaxed Tb5Nd2Er2 crystal.

Total energy   -79.767 eV per cell
Space group   Ima2
Energy relative to the elements   0.214 eV per atom
Volume   32.99 Å³ per atom

Structure (POSCAR):
```
Tb5Nd2Er2
1.0
-7.457 5.907 3.370
7.457 -5.907 3.370
7.457 5.907 -3.370
Tb Nd Er
10 4 4
direct
0.248 0.052 0.300 Tb
0.248 0.448 0.695 Tb
0.441 0.033 0.122 Tb
0.441 0.819 0.908 Tb
0.447 0.452 0.495 Tb
0.752 0.552 0.305 Tb
0.752 0.948 0.700 Tb
0.911 0.319 0.878 Tb
0.911 0.533 0.092 Tb
0.957 0.952 0.505 Tb
0.352 0.225 0.873 Nd
0.352 0.478 0.127 Nd
0.352 0.725 0.373 Nd
0.352 0.978 0.627 Nd
0.813 0.313 0.500 Er
0.813 0.813 0.000 Er
0.887 0.148 0.239 Er
0.908 0.648 0.761 Er
```

=====

Entry 3:
Density functional theory data (PBE-GGA) for a relaxed TbNdEr crystal.

Total energy   -13.752 eV per cell
Space group   P-6m2
Energy relative to the elements   0.070 eV per atom
Volume   32.45 Å³ per atom

Structure (POSCAR):
```
TbNdEr
1.0
5.679 0.000 0.000
-2.839 4.918 0.000
0.000 0.000 3.486
Tb Nd Er
1 1 1
direct
0.000 0.000 0.000 Tb
0.667 0.333 0.500 Nd
0.333 0.667 0.000 Er
```

=====

| no. | M_tot (μB/cell) |
| --- | --- |
| 1 | 0.0 |
| 2 | 0.0 |
| 3 | 0.0 |